# ZnSnI4

ZnSnI4 after structural relaxation (PBE, Alexandria).

POSCAR file:
```
ZnSnI4
1.0
-2.201 -7.142 -1.991
1.381 4.270 -6.265
9.187 -1.291 4.205
I Sn Zn
8 2 2
Cartesian
8.044 -1.982 -3.328 I
1.325 -6.364 -1.188 I
-0.020 -3.390 -4.385 I
8.387 -0.773 0.334 I
7.042 2.201 -2.864 I
5.199 -3.655 -0.168 I
3.168 -0.508 -3.883 I
0.323 -2.181 -0.723 I
6.820 -4.857 -2.496 Sn
1.547 0.694 -1.556 Sn
7.209 -3.414 1.632 Zn
1.158 -0.748 -5.684 Zn
```

Properties
Space group = No. 15
Formation energy from raw total energies = -41.69 kJ per mole of atoms
Total magnetization = 0.0000 μB/atom
Offset from the most stable computed form = 0.59 kcal/mol of atoms